Density functional theory data (GGA+U) for a geometry-optimized SrLa2FeO5 structure.

Structure (POSCAR):
```
SrLa2FeO5
1.0
6.826 0.000 0.000
0.000 6.826 0.000
0.000 0.000 5.819
Sr La Fe O
2 4 2 10
direct
0.000 0.000 0.000
0.500 0.500 0.000
0.175 0.325 0.500
0.325 0.825 0.500
0.675 0.175 0.500
0.825 0.675 0.500
0.000 0.500 0.000
0.500 0.000 0.000
0.000 0.000 0.500
0.141 0.641 0.234
0.141 0.641 0.766
0.359 0.141 0.234
0.359 0.141 0.766
0.500 0.500 0.500
0.641 0.859 0.234
0.641 0.859 0.766
0.859 0.359 0.234
0.859 0.359 0.766
```

Summary:
VASP energy: -7.330 eV per atom